(1)
The following is a DFT calculation (GGA-PBEsol) of CaIr2Pb after structural relaxation.

Unit cell a=4.714 b=4.714 c=4.714 alpha=60.00 beta=60.00 gamma=60.00
Positions (direct):
Pb 0.250 0.250 0.250
Ir 0.000 0.000 0.000
Ir 0.750 0.750 0.750
Ca 0.500 0.500 0.500

Results
The formation energy is 0.325 eV per atom. Its total energy is -6.12 eV per atom. The value obtained for the theoretical density is 14.16 Mg/m³. For the total magnetization, the calculation gives 0.0 μB per cell.

(2)
The following is a DFT calculation (GGA-PBEsol) of CaIr2Pb after structural relaxation.

Unit cell a=3.216 b=3.216 c=7.259 alpha=90.00 beta=90.00 gamma=90.00
Positions (direct):
Ir 0.000 0.000 0.773
Ir 0.000 0.000 0.227
Pb 0.500 0.500 0.000
Ca 0.500 0.500 0.500

Results
The formation energy is 0.211 eV per atom. Its total energy is -6.23 eV per atom. The value obtained for the theoretical density is 13.97 Mg/m³. For the total magnetization, the calculation gives 0.0 μB per cell.

(3)
The following is a DFT calculation (GGA-PBEsol) of Ca3IrPd after structural relaxation.

Unit cell a=5.282 b=5.282 c=5.282 alpha=90.00 beta=90.00 gamma=90.00
Positions (direct):
Ca 0.000 0.500 0.000
Ca 0.500 0.000 0.000
Ca 0.000 0.000 0.500
Ir 0.000 0.000 0.000
Pd 0.500 0.500 0.500

Results
The formation energy is 0.047 eV per atom. Its total energy is -4.39 eV per atom. The value obtained for the theoretical density is 4.72 Mg/m³. For the total magnetization, the calculation gives 0.0 μB per cell.

(4)
The following is a DFT calculation (GGA-PBEsol) of CaIrPt2 after structural relaxation.

Unit cell a=2.853 b=2.853 c=9.398 alpha=81.27 beta=81.27 gamma=60.00
Positions (direct):
Ir 0.000 0.000 0.000
Pt 0.746 0.746 0.761
Pt 0.254 0.254 0.239
Ca 0.500 0.500 0.500

Results
The formation energy is 0.121 eV per atom. The energy above the lowest structure with this stoichiometry is 0.267 eV/atom. Its total energy is -6.35 eV per atom. The value obtained for the theoretical density is 15.85 Mg/m³. For the total magnetization, the calculation gives 0.0 μB per cell.

(5)
The following is a DFT calculation (GGA-PBEsol) of Ca3IrPt after structural relaxation.

Unit cell a=5.222 b=5.222 c=5.222 alpha=90.00 beta=90.00 gamma=90.00
Positions (direct):
Ca 0.000 0.500 0.000
Ca 0.000 0.000 0.500
Ca 0.500 0.000 0.000
Pt 0.500 0.500 0.500
Ir 0.000 0.000 0.000

Results
The formation energy is 0.075 eV per atom. Its total energy is -4.56 eV per atom. The value obtained for the theoretical density is 5.92 Mg/m³. For the total magnetization, the calculation gives 0.0 μB per cell.

(6)
The following is a DFT calculation (GGA-PBEsol) of CaIrPt2 after structural relaxation.

Unit cell a=2.818 b=4.932 c=5.003 alpha=99.59 beta=90.00 gamma=106.60
Positions (direct):
Pt 0.760 0.520 0.773
Pt 0.240 0.480 0.227
Ca 0.000 0.000 0.500
Ir 0.500 0.000 0.000

Results
The formation energy is -0.146 eV per atom. The energy above the lowest structure with this stoichiometry is 0.000 eV/atom. Its total energy is -6.62 eV per atom. The value obtained for the theoretical density is 15.75 Mg/m³. For the total magnetization, the calculation gives 0.0 μB per cell.

(7)
The following is a DFT calculation (GGA-PBEsol) of CaIrPt2 after structural relaxation.

Unit cell a=4.555 b=4.555 c=4.555 alpha=60.00 beta=60.00 gamma=60.00
Site moments in Bohr magnetons follow the coordinates.
Positions (direct):
Pt 0.750 0.750 0.750  0.04
Pt 0.250 0.250 0.250  0.04
Ir 0.500 0.500 0.500  0.11
Ca 0.000 0.000 0.000  0.00

Results
The formation energy is 0.004 eV per atom. The energy above the lowest structure with this stoichiometry is 0.150 eV/atom. Its total energy is -6.47 eV per atom. The value obtained for the theoretical density is 15.46 Mg/m³. For the total magnetization, the calculation gives 0.2 μB per cell.

(8)
The following is a DFT calculation (GGA-PBEsol) of CaIrPt2 after structural relaxation.

Unit cell a=4.028 b=4.028 c=4.920 alpha=114.17 beta=114.17 gamma=90.00
Positions (direct):
Ca 0.500 0.500 0.000
Pt 0.750 0.250 0.500
Pt 0.250 0.750 0.500
Ir 0.000 0.000 0.000

Results
The formation energy is -0.146 eV per atom. The energy above the lowest structure with this stoichiometry is 0.000 eV/atom. Its total energy is -6.62 eV per atom. The value obtained for the theoretical density is 15.88 Mg/m³. For the total magnetization, the calculation gives 0.0 μB per cell.